(1)
Computed, not measured: an optimized crystal structure of RbNa2AgBr4 at the PBE-GGA level of DFT.

The space group is Cmcm (No. 63) and the conventional cell measures 4.4315, 15.0496 and 15.3250 Å, with angles of 90.00, 90.00 and 90.00 degrees. The asymmetric unit holds Rb at (0.0000, 0.1283, 0.2500), Na at (0.0000, 0.3761, 0.0507), Ag at (0.0000, 0.1501, 0.7500), Br at (0.0000, 0.0000, 0.0000), Br at (0.0000, 0.2573, 0.6096) and Br at (0.0000, 0.4526, 0.2500).


(2)
Computed, not measured: an optimized crystal structure of RbNaAgBr3 at the PBE-GGA level of DFT.

The space group is P2_1/m (No. 11) and the conventional cell measures 9.2502, 4.4408 and 10.3017 Å, with angles of 90.00, 105.87 and 90.00 degrees. The asymmetric unit holds Rb at (0.2038, 0.2500, 0.2232), Na at (0.3446, 0.7500, 0.8672), Ag at (0.0878, 0.2500, 0.5916), Br at (0.1062, 0.2500, 0.8566), Br at (0.2277, 0.7500, 0.5237) and Br at (0.4548, 0.7500, 0.1623).


(3)
Computed, not measured: an optimized crystal structure of RbNaAg2Br5 at the PBE-GGA level of DFT.

The space group is P4/mmm (No. 123) and the conventional cell measures 5.2706, 5.2706 and 10.4221 Å, with angles of 90.00, 90.00 and 90.00 degrees. The asymmetric unit holds Rb at (0.0000, 0.0000, 0.0000), Na at (0.0000, 0.0000, 0.5000), Ag at (0.5000, 0.5000, 0.2729), Br at (0.0000, 0.5000, 0.3150) and Br at (0.5000, 0.5000, 0.0000).


(4)
Computed, not measured: an optimized crystal structure of Rb3NaAg2Br9 at the PBE-GGA level of DFT.

The space group is P-3m1 (No. 164) and the conventional cell measures 7.7349, 7.7349 and 9.6449 Å, with angles of 90.00, 90.00 and 120.00 degrees. The asymmetric unit holds Rb at (0.0000, 0.0000, 0.0000), Rb at (0.3333, 0.6667, 0.6579), Na at (0.0000, 0.0000, 0.5000), Ag at (0.3333, 0.6667, 0.1606), Br at (0.0000, 0.5000, 0.0000) and Br at (0.1686, 0.3372, 0.3153).


(5)
Computed, not measured: an optimized crystal structure of NaReAgBr6 at the PBE-GGA level of DFT.

The space group is P-31c (No. 163) and the conventional cell measures 7.0494, 7.0494 and 12.2029 Å, with angles of 90.00, 90.00 and 120.00 degrees. The asymmetric unit holds Na at (0.3333, 0.6667, 0.2500), Re at (0.3333, 0.6667, 0.7500), Ag at (0.0000, 0.0000, 0.0000) and Br at (0.0420, 0.3723, 0.6282).


(6)
Computed, not measured: an optimized crystal structure of NaAg2RhBr6 at the PBE-GGA level of DFT.

The space group is R3 (No. 146, hexagonal axes) and the conventional cell measures 7.1030, 7.1030 and 18.7383 Å, with angles of 90.00, 90.00 and 120.00 degrees. The asymmetric unit holds Na at (0.0000, 0.0000, 0.0000), Ag at (0.0000, 0.0000, 0.2798), Ag at (0.0000, 0.0000, 0.8042), Rh at (0.0000, 0.0000, 0.4860), Br at (0.0067, 0.7200, 0.4057) and Br at (0.0165, 0.3033, 0.5621).


(7)
Computed, not measured: an optimized crystal structure of NaAgRuBr2 at the PBE-GGA level of DFT.

The space group is P4/mmm (No. 123) and the conventional cell measures 5.4462, 5.4462 and 5.2062 Å, with angles of 90.00, 90.00 and 90.00 degrees. The asymmetric unit holds Na at (0.0000, 0.0000, 0.0000), Ag at (0.5000, 0.5000, 0.5000), Ru at (0.5000, 0.5000, 0.0000) and Br at (0.0000, 0.5000, 0.5000).


(8)
Computed, not measured: an optimized crystal structure of NaAgRuBr6 at the PBE-GGA level of DFT.

The space group is P-31c (No. 163) and the conventional cell measures 7.0087, 7.0087 and 11.9150 Å, with angles of 90.00, 90.00 and 120.00 degrees. The asymmetric unit holds Na at (0.3333, 0.6667, 0.2500), Ag at (0.0000, 0.0000, 0.0000), Ru at (0.3333, 0.6667, 0.7500) and Br at (0.0424, 0.3735, 0.6265).


(9)
Computed, not measured: an optimized crystal structure of NaAg2RuBr6 at the PBE-GGA level of DFT.

The space group is R3 (No. 146, hexagonal axes) and the conventional cell measures 7.1141, 7.1141 and 18.6832 Å, with angles of 90.00, 90.00 and 120.00 degrees. The asymmetric unit holds Na at (0.0000, 0.0000, 0.0000), Ag at (0.0000, 0.0000, 0.2780), Ag at (0.0000, 0.0000, 0.8034), Ru at (0.0000, 0.0000, 0.4867), Br at (0.0052, 0.7184, 0.4061) and Br at (0.0189, 0.3054, 0.5630).


(10)
Computed, not measured: an optimized crystal structure of Na2AgSbBr6 at the PBE-GGA level of DFT.

The space group is P1 (No. 1) and the conventional cell measures 7.3919, 7.3960 and 7.8583 Å, with angles of 61.94, 89.98 and 60.02 degrees. The asymmetric unit holds Na at (0.0000, 0.0000, 0.0000), Na at (0.4923, 0.0151, 0.4771), Ag at (0.2956, 0.4083, 0.8880), Sb at (0.8034, 0.3929, 0.4109), Br at (0.0664, 0.2500, 0.1763), Br at (0.1872, 0.2330, 0.6776), Br at (0.4261, 0.5073, 0.1764), Br at (0.5796, 0.5097, 0.6777), Br at (0.6839, 0.8898, 0.1767) and Br at (0.9100, 0.9027, 0.6776).


(11)
Computed, not measured: an optimized crystal structure of NaAgSbBr5 at the PBE-GGA level of DFT.

The space group is C2/c (No. 15) and the conventional cell measures 9.4037, 11.6915 and 11.2298 Å, with angles of 90.00, 101.04 and 90.00 degrees. The asymmetric unit holds Na at (0.2500, 0.2500, 0.0000), Ag at (0.0000, 0.0606, 0.2500), Sb at (0.0000, 0.3788, 0.2500), Br at (0.0000, 0.3939, 0.7500), Br at (0.0406, 0.2147, 0.4402) and Br at (0.2090, 0.1067, 0.7815).


(12)
Computed, not measured: an optimized crystal structure of NaAgSbBr6 at the PBE-GGA level of DFT.

The space group is P312 (No. 149) and the conventional cell measures 7.1718, 7.1718 and 6.5955 Å, with angles of 90.00, 90.00 and 120.00 degrees. The asymmetric unit holds Na at (0.0000, 0.0000, 0.0000), Ag at (0.3333, 0.6667, 0.5000), Sb at (0.6667, 0.3333, 0.5000) and Br at (0.3615, 0.0100, 0.7413).


We obtain E_form (uncorrected) values of -1286 -1206 -883 -968 -531 -559 509 -505 -494 -923 -687 -642 meV per atom for the records listed above, in that order.
We obtain magnetic moment values of 0.000 0.000 0.000 0.000 6.000 0.000 2.900 4.034 3.153 0.000 0.000 0.000 μB/cell for the records listed above, in that order.